DFT (GGA-PBEsol) results for a geometry-optimized KCoAu2 structure.

- ΔE_f: 0.4295 eV/atom
- Distance to the lowest polymorph of the same formula: 18.8 kJ/mol of atoms
- V: 71.2 Å³/cell

Cell: 2.9125 2.9125 9.8365 Å, 81.49 81.49 60.00°
Last column: nearest neighbours and their distance in Å.
Fractional coordinates of all 4 atoms:
Au  0.7634  0.7634  0.7098  3 Co 2.64, 6 Au 2.91
Au  0.2366  0.2366  0.2902  3 Co 2.64, 6 Au 2.91
Co  0.5000  0.5000  0.5000  6 Au 2.64, 6 Co 2.91
K  0.0000  0.0000  0.0000  6 K 2.91



DFT (GGA-PBEsol) results for a geometry-optimized SbHPt2 structure.

- Uncorrected energy: -5.0971 eV/atom
- V: 58.6 Å³/cell

Cell: 4.3607 4.3607 4.3607 Å, 60.00 60.00 60.00°
Last column: nearest neighbours and their distance in Å.
Fractional coordinates of all 4 atoms:
H  0.0000  0.0000  0.0000  8 Pt 2.67
Sb  0.5000  0.5000  0.5000  8 Pt 2.67
Pt  0.2500  0.2500  0.2500  4 H 2.67, 4 Sb 2.67
Pt  0.7500  0.7500  0.7500  4 H 2.67, 4 Sb 2.67



DFT (GGA-PBEsol) results for a geometry-optimized BaLaOs2 structure.

- ΔE_f: 0.7846 eV/atom
- Distance to the lowest polymorph of the same formula: 23.5 kJ/mol of atoms
- V: 101.1 Å³/cell

Cell: 3.2799 4.5231 6.8126 Å, 90.00 90.00 90.00°
Last column: nearest neighbours and their distance in Å.
Fractional coordinates of all 4 atoms:
Ba  0.5000  0.5000  0.0000  2 Ba 3.28, 2 La 3.41, 8 Os 3.57
La  0.5000  0.5000  0.5000  8 Os 3.04, 2 La 3.28
Os  0.0000  0.0000  0.3258  1 Os 2.37
Os  0.0000  0.0000  0.6742  1 Os 2.37



DFT (GGA-PBEsol) results for a geometry-optimized Zr2Sb2Te structure.

- Uncorrected energy: -6.5151 eV/atom
- V: 123.6 Å³/cell

Cell: 4.1230 4.1230 7.8336 Å, 105.26 105.26 90.00°
Last column: nearest neighbours and their distance in Å.
Fractional coordinates of all 5 atoms:
Sb  0.2500  0.7500  0.5000  4 Sb 2.92, 4 Zr 2.95
Sb  0.7500  0.2500  0.5000  4 Sb 2.92, 4 Zr 2.95
Zr  0.3952  0.3952  0.7904  4 Sb 2.95, 1 Zr 3.05, 4 Te 3.29
Zr  0.6048  0.6048  0.2096  4 Sb 2.95, 1 Zr 3.05, 4 Te 3.29
Te  0.0000  0.0000  0.0000  8 Zr 3.29



DFT (GGA-PBEsol) results for a geometry-optimized ScI3 structure.

- Uncorrected energy: -4.1250 eV/atom
- V: 359.7 Å³/cell

Cell: 3.7509 10.5230 10.5230 Å, 120.00 90.00 90.00°
Last column: nearest neighbours and their distance in Å.
Fractional coordinates of all 8 atoms:
I  0.7500  0.2131  0.4262  2 Sc 2.88
I  0.2500  0.4262  0.2131  2 Sc 2.88
I  0.2500  0.7869  0.2131  2 Sc 2.88
I  0.2500  0.7869  0.5738  2 Sc 2.88
I  0.7500  0.5738  0.7869  2 Sc 2.88
I  0.7500  0.2131  0.7869  2 Sc 2.88
Sc  0.2500  0.3333  0.6667  6 I 2.88
Sc  0.7500  0.6667  0.3333  6 I 2.88



DFT (GGA-PBEsol) results for a geometry-optimized LiSc2Ru structure.

- ΔE_f: -0.2301 eV/atom
- Distance to the lowest polymorph of the same formula: 9.0 kJ/mol of atoms
- V: 67.6 Å³/cell

Cell: 3.2847 4.5377 4.5377 Å, 90.00 90.00 90.00°
Last column: nearest neighbours and their distance in Å.
Fractional coordinates of all 4 atoms:
Sc  0.0000  0.0000  0.5000  4 Li 2.80, 4 Ru 2.80
Sc  0.0000  0.5000  0.0000  4 Ru 2.80, 4 Li 2.80
Li  0.5000  0.0000  0.0000  8 Sc 2.80
Ru  0.5000  0.5000  0.5000  8 Sc 2.80



| no. | magnetic moment (μB/atom) |
| --- | --- |
| 1 | 0.40 |
| 2 | 0.00 |
| 3 | 0.00 |
| 4 | 0.00 |
| 5 | 0.00 |
| 6 | 0.00 |